The following is a GGA+U calculation of Tl2CoAgF6 after structural relaxation, from Alexandria.

## Properties
For the total energy, the calculation gives -0.1503 hartree per atom.

CIF file:
```
data_Tl2CoAgF6
_chemical_formula_sum 'Tl4 Co2 Ag2 F12'
_cell_length_a 6.066
_cell_length_b 8.673
_cell_length_c 6.070
_cell_angle_alpha 90.00
_cell_angle_beta 90.00
_cell_angle_gamma 90.00
_space_group_name_H-M_alt 'P m m n'
_space_group_IT_number 59
loop_
_space_group_symop_operation_xyz
'x,y,z'
'-x,-y,-z'
'-x+1/2,-y+1/2,z'
'x+1/2,y+1/2,-z'
'x+1/2,-y,-z'
'-x+1/2,y,z'
'-x,y+1/2,-z'
'x,-y+1/2,z'
loop_
_atom_site_label
_atom_site_fract_x
_atom_site_fract_y
_atom_site_fract_z
_atom_site_occupancy
Tl1 0.250 0.000 0.250 1
Co1 0.250 0.250 0.749 1
Ag1 0.250 0.750 0.751 1
F1 0.029 0.250 0.529 1
F2 0.030 0.250 0.970 1
F3 0.250 0.032 0.749 1
```